Material: PrInAsO
Method: DFT, PBE-GGA
State: relaxed

Values from the calculation:
- energy above the most stable polymorph in this dataset (eV/f.u.) = 3.65

```
data_PrInAsO
_cell_length_a 4.554
_cell_length_b 4.554
_cell_length_c 8.403
_cell_angle_alpha 90.00
_cell_angle_beta 90.00
_cell_angle_gamma 90.00
_space_group_name_H-M_alt 'P 4/n m m'
_space_group_IT_number 129
loop_
_space_group_symop_operation_xyz
'x,y,z'
'-x,-y,-z'
'-y+1/2,x,z'
'y+1/2,-x,-z'
'-x+1/2,-y+1/2,z'
'x+1/2,y+1/2,-z'
'y,-x+1/2,z'
'-y,x+1/2,-z'
'x+1/2,-y,-z'
'-x+1/2,y,z'
'-y,-x,-z'
'y,x,z'
'-x,y+1/2,-z'
'x,-y+1/2,z'
'y+1/2,x+1/2,-z'
'-y+1/2,-x+1/2,z'
loop_
_atom_site_label
_atom_site_type_symbol
_atom_site_fract_x
_atom_site_fract_y
_atom_site_fract_z
_atom_site_occupancy
Pr1 Pr 0.250 0.750 0.000 1
In1 In 0.250 0.250 0.420 1
As1 As 0.250 0.250 0.782 1
O1 O 0.250 0.750 0.500 1
```